(1)
The following is a DFT calculation (PBE-GGA) of crystalline Cs2NaOsS4 at its relaxed geometry.

```
Cs2NaOsS4
1.0
6.376 0.000 0.000
3.188 7.069 0.000
3.188 0.000 12.414
Cs Na Os S
4 2 2 8
direct
0.179 0.000 0.643
0.821 0.000 0.357
0.571 0.500 0.857
0.929 0.500 0.143
0.750 0.500 0.500
0.000 0.000 0.000
0.250 0.500 0.500
0.500 0.000 0.000
0.349 0.813 0.104
0.266 0.187 0.896
0.838 0.813 0.896
0.547 0.187 0.104
0.401 0.687 0.396
0.484 0.313 0.604
0.912 0.687 0.604
0.203 0.313 0.396
```

Properties
Its symmetry is Fddd.

(2)
The following is a DFT calculation (PBE-GGA) of crystalline Fe6Ni5 at its relaxed geometry.

```
Fe6Ni5
1.0
-3.776 0.057 -2.066
-1.410 1.163 -6.382
2.993 -6.584 2.909
Fe Ni
6 5
direct
0.747 0.753 0.000
0.253 0.247 0.000
0.741 0.083 0.671
0.236 0.588 0.671
0.259 0.917 0.329
0.764 0.412 0.329
0.500 0.500 0.000
0.004 0.665 0.331
0.996 0.335 0.669
0.486 0.833 0.665
0.514 0.167 0.335
```

Properties
As for the energy of formation from the pure elements: 0.11 eV per atom. Its symmetry is P-1.

(3)
The following is a DFT calculation (PBE-GGA) of crystalline Ac2NdHoO6 at its relaxed geometry.

```
Ac2NdHoO6
1.0
-1.842 -1.408 5.636
-2.557 -5.324 -2.166
7.607 -4.221 1.395
Ac Nd Ho O
4 2 2 12
direct
0.016 0.952 0.251
0.516 0.548 0.751
0.984 0.048 0.749
0.484 0.452 0.249
0.500 0.000 0.000
0.000 0.500 0.500
0.500 0.000 0.500
0.000 0.500 0.000
0.298 0.691 0.066
0.798 0.809 0.566
0.702 0.309 0.934
0.202 0.191 0.434
0.311 0.703 0.430
0.811 0.797 0.930
0.689 0.297 0.570
0.189 0.203 0.070
0.874 0.559 0.243
0.374 0.941 0.743
0.126 0.441 0.757
0.626 0.059 0.257
```

Properties
Its symmetry is P2_1/c.

(4)
The following is a DFT calculation (PBE-GGA) of crystalline ZnI2O at its relaxed geometry.

```
ZnI2O
1.0
2.671 -3.092 -2.736
2.111 -3.925 2.078
-1.696 -4.510 -0.979
I Zn O
2 1 1
direct
0.250 0.250 0.250
0.750 0.750 0.750
0.500 0.500 0.500
0.000 0.000 0.000
```

Properties
Its symmetry is Fm-3m. Its polymorph energy (0 for the lowest one) is 0.438 eV per atom.

(5)
The following is a DFT calculation (PBE-GGA) of crystalline PmHoPd at its relaxed geometry.

```
PmHoPd
1.0
3.589 0.007 0.000
-0.012 7.219 0.038
-1.792 -1.876 6.111
Pm Ho Pd
2 2 2
direct
0.301 0.484 0.368
0.577 0.620 0.921
0.577 0.120 0.920
0.301 0.984 0.369
0.942 0.280 0.651
0.936 0.824 0.638
```

Properties
As for the energy of formation from the pure elements: -0.52 eV per atom. Its symmetry is C2/m. Its polymorph energy (0 for the lowest one) is 0.003 eV per atom.

(6)
The following is a DFT calculation (PBE-GGA) of crystalline CsTl2Ga at its relaxed geometry.

```
CsTl2Ga
1.0
-3.582 -0.327 -1.417
1.450 -1.097 -3.411
-0.266 -8.662 2.672
Cs Tl Ga
1 2 1
direct
0.500 0.500 0.500
0.000 0.000 0.820
0.000 0.000 0.180
0.500 0.500 0.000
```

Properties
As for the energy of formation from the pure elements: -0.02 eV per atom. Its symmetry is P4/mmm. Its polymorph energy (0 for the lowest one) is 0.046 eV per atom.

(7)
The following is a DFT calculation (PBE-GGA) of crystalline TlVH3 at its relaxed geometry.

```
TlVH3
1.0
-3.669 -0.747 0.595
-0.361 -1.103 -3.610
0.884 -3.550 0.996
H Tl V
3 1 1
direct
0.000 0.500 0.000
0.000 0.000 0.500
0.500 0.000 0.000
0.500 0.500 0.500
0.000 0.000 0.000
```

Properties
Its symmetry is Pm-3m. Its polymorph energy (0 for the lowest one) is 0.000 eV per atom.

(8)
The following is a DFT calculation (PBE-GGA) of crystalline La3SnN2 at its relaxed geometry.

```
La3SnN2
1.0
-3.266 2.449 0.562
-3.002 -4.521 2.258
4.251 2.996 11.649
La Sn N
6 2 4
direct
0.750 0.293 0.250
0.250 0.707 0.750
0.750 0.739 0.024
0.250 0.261 0.976
0.250 0.261 0.524
0.750 0.739 0.476
0.250 0.837 0.250
0.750 0.163 0.750
0.250 0.649 0.936
0.750 0.351 0.064
0.750 0.351 0.436
0.250 0.649 0.564
```

Properties
Its symmetry is Pmmn.

(9)
The following is a DFT calculation (PBE-GGA) of crystalline Li2Nd3Si4 at its relaxed geometry.

```
Li2Nd3Si4
1.0
-4.095 -0.088 -1.133
3.485 0.546 -4.670
-0.169 -8.296 1.260
Li Nd Si
2 3 4
direct
0.624 0.249 0.292
0.376 0.751 0.708
0.658 0.317 0.672
0.000 0.000 0.000
0.342 0.683 0.328
0.717 0.434 0.050
0.283 0.566 0.950
0.939 0.879 0.603
0.061 0.121 0.397
```

Properties
Its symmetry is C2/m.

(10)
The following is a DFT calculation (PBE-GGA) of crystalline Zr4ScPb at its relaxed geometry.

```
Zr4ScPb
1.0
2.598 0.185 5.278
-2.621 -2.463 4.659
2.213 -4.914 2.365
Zr Sc Pb
4 1 1
direct
0.883 0.372 0.372
0.372 0.372 0.883
0.372 0.883 0.372
0.372 0.372 0.372
0.000 0.000 0.000
0.750 0.750 0.750
```

Properties
As for the energy of formation from the pure elements: 0.17 eV per atom. Its symmetry is F-43m.

(11)
The following is a DFT calculation (PBE-GGA) of crystalline BeFeW2 at its relaxed geometry.

```
BeFeW2
1.0
-1.035 -2.222 1.934
2.786 -1.404 -0.122
1.665 2.934 4.263
Be Fe W
1 1 2
direct
0.000 0.000 0.511
0.500 0.500 0.722
0.000 0.000 0.993
0.500 0.500 0.275
```

Properties
As for the energy of formation from the pure elements: 0.16 eV per atom. Its symmetry is P4mm.

(12)
The following is a DFT calculation (PBE-GGA) of crystalline RbLaPd3 at its relaxed geometry.

```
RbLaPd3
1.0
-2.485 -1.795 4.198
4.564 -0.866 2.332
-0.107 4.801 1.990
Rb Pd La
1 3 1
direct
0.000 0.000 0.000
0.000 0.500 0.000
0.000 0.000 0.500
0.500 0.000 0.000
0.500 0.500 0.500
```

Properties
As for the energy of formation from the pure elements: 0.82 eV per atom. Its symmetry is Pm-3m. Its polymorph energy (0 for the lowest one) is 0.582 eV per atom.

(13)
The following is a DFT calculation (PBE-GGA) of crystalline Ce3Zn8Ag at its relaxed geometry.

```
Ce3Zn8Ag
1.0
5.439 0.000 0.000
2.720 4.710 0.000
2.720 1.570 8.931
Ce Zn Ag
3 8 1
direct
0.375 0.375 0.876
0.000 0.000 0.999
0.501 0.501 0.498
0.934 0.438 0.190
0.440 0.938 0.684
0.438 0.438 0.190
0.938 0.938 0.684
0.188 0.188 0.435
0.687 0.687 0.938
0.438 0.934 0.190
0.938 0.440 0.684
0.873 0.873 0.380
```

Properties
As for the energy of formation from the pure elements: -0.21 eV per atom. Its symmetry is R3m.

(14)
The following is a DFT calculation (PBE-GGA) of crystalline GaNiSb2I at its relaxed geometry.

```
GaNiSb2I
1.0
-2.299 2.768 3.121
-2.668 -3.715 1.329
5.316 -1.834 5.542
I Sb Ga Ni
1 2 1 1
direct
0.000 0.000 0.500
0.000 0.500 0.000
0.500 0.000 0.000
0.500 0.500 0.500
0.000 0.000 0.000
```

Properties
Its symmetry is P4/mmm. Its polymorph energy (0 for the lowest one) is 0.000 eV per atom.

(15)
The following is a DFT calculation (PBE-GGA) of crystalline Ce2HoGe3Pt4 at its relaxed geometry.

```
Ce2HoGe3Pt4
1.0
-3.539 0.062 2.379
2.237 -1.366 3.364
2.148 10.692 2.914
Ce Ho Ge Pt
2 1 3 4
direct
0.500 0.000 0.226
0.000 0.500 0.774
0.500 0.500 0.500
0.000 0.000 0.500
0.500 0.000 0.876
0.000 0.500 0.124
0.500 0.500 0.000
0.000 0.000 0.000
0.500 0.000 0.657
0.000 0.500 0.343
```

Properties
As for the energy of formation from the pure elements: -0.93 eV per atom. Its symmetry is P-4m2.

(16)
The following is a DFT calculation (PBE-GGA) of crystalline Nd2Ni16H at its relaxed geometry.

```
Nd2Ni16H
1.0
6.240 -0.018 0.684
0.611 6.210 0.684
-0.019 -0.018 6.277
Nd Ni H
2 16 1
direct
0.669 0.669 0.669
0.340 0.340 0.340
0.705 0.997 0.289
0.997 0.289 0.705
0.289 0.705 0.997
0.997 0.705 0.289
0.705 0.289 0.997
0.289 0.997 0.705
0.343 0.847 0.343
0.847 0.343 0.343
0.343 0.343 0.847
0.653 0.153 0.653
0.153 0.653 0.653
0.653 0.653 0.153
0.002 0.492 0.002
0.492 0.002 0.002
0.002 0.002 0.492
0.074 0.074 0.074
0.948 0.948 0.948
```

Properties
Its symmetry is R3m.

(17)
The following is a DFT calculation (PBE-GGA) of crystalline Re2Os5 at its relaxed geometry.

```
Re2Os5
1.0
-6.420 0.329 2.762
-5.326 -3.858 2.390
-3.784 -1.495 5.692
Re Os
2 5
direct
0.164 0.164 0.164
0.836 0.836 0.836
0.567 0.567 0.567
0.299 0.299 0.299
0.000 0.000 0.000
0.701 0.701 0.701
0.433 0.433 0.433
```

Properties
As for the energy of formation from the pure elements: 0.60 eV per atom. Its symmetry is R-3m. Its polymorph energy (0 for the lowest one) is 0.514 eV per atom.

(18)
The following is a DFT calculation (PBE-GGA) of crystalline Tb2PmTm6Sc at its relaxed geometry.

```
Tb2PmTm6Sc
1.0
8.918 -1.955 -2.029
0.799 8.360 -1.932
0.799 -2.240 8.283
Tb Pm Tm Sc
4 2 12 2
direct
0.451 0.799 0.695
0.049 0.305 0.201
0.549 0.201 0.305
0.951 0.695 0.799
0.250 0.977 0.023
0.750 0.023 0.977
0.058 0.127 0.749
0.442 0.251 0.873
0.942 0.873 0.251
0.558 0.749 0.127
0.312 0.991 0.435
0.188 0.565 0.009
0.688 0.009 0.565
0.812 0.435 0.991
0.115 0.707 0.492
0.385 0.508 0.293
0.885 0.293 0.508
0.615 0.492 0.707
0.250 0.412 0.588
0.750 0.588 0.412
```

Properties
As for the energy of formation from the pure elements: 0.13 eV per atom. Its symmetry is C2/c.

(19)
The following is a DFT calculation (PBE-GGA) of crystalline Ca2SiPbW at its relaxed geometry.

```
Ca2SiPbW
1.0
-5.670 0.532 1.585
1.343 -0.251 4.889
0.591 5.880 0.140
Pb Ca Si W
1 2 1 1
direct
0.000 0.000 0.000
0.000 0.000 0.500
0.500 0.000 0.000
0.000 0.500 0.000
0.500 0.500 0.500
```

Properties
Its symmetry is P4/mmm.

(20)
The following is a DFT calculation (PBE-GGA) of crystalline KZrCr3 at its relaxed geometry.

```
KZrCr3
1.0
5.125 0.000 0.000
0.000 5.125 0.000
0.000 0.000 5.125
Cr K Zr
3 1 1
direct
0.000 0.500 0.000
0.000 0.000 0.500
0.500 0.000 0.000
0.500 0.500 0.500
0.000 0.000 0.000
```

Properties
As for the energy of formation from the pure elements: 1.53 eV per atom. Its symmetry is Pm-3m. Its polymorph energy (0 for the lowest one) is 0.000 eV per atom.

| no. | total DFT energy (no corrections) (eV/atom) |
| --- | --- |
| 1 | -4.514 |
| 2 | -7.134 |
| 3 | -8.109 |
| 4 | -1.692 |
| 5 | -5.358 |
| 6 | -2.175 |
| 7 | -4.063 |
| 8 | -7.046 |
| 9 | -5.038 |
| 10 | -7.197 |
| 11 | -9.364 |
| 12 | -3.477 |
| 13 | -2.776 |
| 14 | -3.437 |
| 15 | -6.381 |
| 16 | -5.631 |
| 17 | -10.979 |
| 18 | -4.589 |
| 19 | -3.742 |
| 20 | -6.176 |